# 1
# Zn2Tc2N PBE-GGA relaxed
# distance to the lowest polymorph of the same formula = 847.2 meV per atom
# ΔE_f (raw) = 0.96 eV per atom
# M_tot = 0.0 μB per cell
data_Zn2Tc2N
_space_group_name_H-M_alt 'P 4/m b m'
_space_group_IT_number 127
_space_group_name_Hall '-P 4 2ab'
_cell_length_a 5.437
_cell_length_b 5.437
_cell_length_c 4.604
_cell_angle_alpha 90.00
_cell_angle_beta 90.00
_cell_angle_gamma 90.00
loop_
_atom_site_label
_atom_site_fract_x
_atom_site_fract_y
_atom_site_fract_z
Zn1 0.158 0.342 0.000
Tc1 0.157 0.657 0.500
N1 0.000 0.000 0.000

=====

# 2
# Zn3TcN4 PBE-GGA relaxed
# ΔE_f (raw) = 0.05 eV per atom
# M_tot = 1.3 μB per cell
data_Zn3TcN4
_space_group_name_H-M_alt 'P m n 21'
_space_group_IT_number 31
_cell_length_a 6.543
_cell_length_b 5.676
_cell_length_c 5.372
_cell_angle_alpha 90.00
_cell_angle_beta 90.00
_cell_angle_gamma 90.00
loop_
_space_group_symop_operation_xyz
'x,y,z'
'-x+1/2,-y,z+1/2'
'-x,y,z'
'x+1/2,-y,z+1/2'
loop_
_atom_site_label
_atom_site_fract_x
_atom_site_fract_y
_atom_site_fract_z
Zn1 0.000 0.162 0.000
Zn2 0.250 0.334 0.498
Tc1 0.000 0.831 0.501
N1 0.000 0.143 0.616
N2 0.000 0.825 0.153
N3 0.236 0.676 0.616

=====

# 3
# ZnTcN PBE-GGA relaxed
# distance to the lowest polymorph of the same formula = 0.0 meV per atom
# ΔE_f (raw) = -0.06 eV per atom
# M_tot = 0.0 μB per cell
data_ZnTcN
_space_group_name_H-M_alt 'C 1 m 1'
_space_group_IT_number 8
_cell_length_a 4.915
_cell_length_b 2.773
_cell_length_c 5.422
_cell_angle_alpha 90.00
_cell_angle_beta 90.33
_cell_angle_gamma 90.00
loop_
_space_group_symop_operation_xyz
'x,y,z'
'x,-y,z'
'x+1/2,y+1/2,z'
'x+1/2,-y+1/2,z'
loop_
_atom_site_label
_atom_site_fract_x
_atom_site_fract_y
_atom_site_fract_z
Zn1 0.000 0.000 0.000
Tc1 0.170 0.500 0.408
N1 0.497 0.500 0.634

=====

# 4
# Zn2Tc2N PBE-GGA relaxed
# distance to the lowest polymorph of the same formula = 1101.5 meV per atom
# ΔE_f (raw) = 1.21 eV per atom
# M_tot = 2.0 μB per cell
data_Zn2Tc2N
_space_group_name_H-M_alt 'I 4/m m m'
_space_group_IT_number 139
_space_group_name_Hall '-I 4 2'
_cell_length_a 3.392
_cell_length_b 3.392
_cell_length_c 13.736
_cell_angle_alpha 90.00
_cell_angle_beta 90.00
_cell_angle_gamma 90.00
loop_
_atom_site_label
_atom_site_fract_x
_atom_site_fract_y
_atom_site_fract_z
Zn1 0.000 0.000 0.088
Tc1 0.000 0.500 0.250
N1 0.000 0.000 0.500